# ScFeB | OQMD via LeMat-Bulk | PBE | optimized geometry
# - electronic total energy (eV per atom) = -7.115
data_ScFeB
_chemical_formula_sum 'Sc4 Fe4 B4'
_cell_length_a 5.361
_cell_length_b 5.361
_cell_length_c 5.361
_cell_angle_alpha 90.00
_cell_angle_beta 90.00
_cell_angle_gamma 90.00
_space_group_name_H-M_alt 'F -4 3 m'
_space_group_IT_number 216
_space_group_name_Hall 'F -4 2 3'
loop_
_atom_site_label
_atom_site_type_symbol
_atom_site_fract_x
_atom_site_fract_y
_atom_site_fract_z
_atom_site_occupancy
Sc1 Sc 0.000 0.000 0.000 1
Fe1 Fe 0.000 0.000 0.500 1
B1 B 0.250 0.250 0.750 1